FeNi2O4 | Alexandria via LeMat-Bulk | PBEsol | relaxed; E_form (uncorrected) = -0.995 eV/atom; density of states at the Fermi level = 5.1 states/eV per cell
1.0
5.720 0.000 0.000
2.860 4.954 0.000
2.860 1.651 4.672
Fe Ni O
2 4 8
Direct
0.875 0.875 0.375 Fe
0.125 0.125 0.625 Fe
0.500 0.000 0.000 Ni
0.000 0.500 0.000 Ni
0.500 0.500 0.000 Ni
0.500 0.500 0.500 Ni
0.259 0.723 0.759 O
0.277 0.741 0.241 O
0.741 0.277 0.241 O
0.741 0.741 0.241 O
0.741 0.741 0.777 O
0.723 0.259 0.759 O
0.259 0.259 0.223 O
0.259 0.259 0.759 O

Fe2NiO4 | Alexandria via LeMat-Bulk | PBEsol | relaxed; E_form (uncorrected) = -1.102 eV/atom; density of states at the Fermi level = 7.7 states/eV per cell
1.0
5.736 0.000 0.000
2.868 4.970 0.064
2.868 1.704 4.669
Fe Ni O
4 2 8
Direct
0.132 0.618 0.118 Fe
0.868 0.382 0.882 Fe
0.500 0.000 0.000 Fe
0.500 0.500 0.500 Fe
0.500 0.000 0.500 Ni
0.000 0.000 0.500 Ni
0.733 0.781 0.753 O
0.733 0.253 0.281 O
0.267 0.747 0.719 O
0.267 0.219 0.247 O
0.278 0.245 0.745 O
0.732 0.245 0.745 O
0.268 0.755 0.255 O
0.722 0.755 0.255 O

FeNi3P4O16 | Alexandria via LeMat-Bulk | PBEsol | relaxed; E_form (uncorrected) = -0.956 eV/atom; density of states at the Fermi level = 7.1 states/eV per cell
1.0
5.582 0.000 0.725
0.000 5.135 0.000
0.803 0.000 11.295
Ni Fe O P
3 1 16 4
Direct
0.116 0.500 0.004 Ni
0.604 0.500 0.988 Ni
0.392 0.000 0.326 Ni
0.958 0.000 0.371 Fe
0.539 0.000 0.163 O
0.852 0.248 0.018 O
0.852 0.752 0.018 O
0.796 0.500 0.810 O
0.864 0.500 0.231 O
0.367 0.280 0.988 O
0.367 0.720 0.988 O
0.652 0.000 0.395 O
0.171 0.500 0.654 O
0.159 0.749 0.362 O
0.159 0.251 0.362 O
0.936 0.000 0.541 O
0.982 0.000 0.191 O
0.543 0.248 0.643 O
0.543 0.752 0.643 O
0.078 0.500 0.177 O
0.807 0.000 0.105 P
0.731 0.000 0.654 P
0.464 0.500 0.573 P
0.066 0.500 0.794 P

Ti3Fe2NiP6O24 | Alexandria via LeMat-Bulk | PBEsol | relaxed; E_form (uncorrected) = -2.203 eV/atom; density of states at the Fermi level = 6.2 states/eV per cell
1.0
8.339 -0.070 -0.050
3.966 7.336 -0.050
3.966 2.342 6.952
Ti Fe Ni P O
3 2 1 6 24
Direct
0.139 0.139 0.139 Ti
0.358 0.358 0.358 Ti
0.641 0.641 0.641 Ti
0.000 0.000 0.000 Fe
0.498 0.498 0.498 Fe
0.861 0.861 0.861 Ni
0.042 0.463 0.752 P
0.463 0.752 0.042 P
0.248 0.956 0.543 P
0.543 0.248 0.956 P
0.956 0.543 0.248 P
0.752 0.042 0.463 P
0.113 0.486 0.332 O
0.332 0.113 0.486 O
0.052 0.260 0.907 O
0.486 0.332 0.113 O
0.012 0.615 0.818 O
0.243 0.434 0.593 O
0.260 0.907 0.052 O
0.434 0.593 0.243 O
0.178 0.001 0.381 O
0.593 0.243 0.434 O
0.096 0.952 0.741 O
0.381 0.178 0.001 O
0.615 0.818 0.012 O
0.907 0.052 0.260 O
0.407 0.757 0.556 O
0.818 0.012 0.615 O
0.556 0.407 0.757 O
0.741 0.096 0.952 O
0.757 0.556 0.407 O
0.001 0.381 0.178 O
0.507 0.679 0.881 O
0.952 0.741 0.096 O
0.679 0.881 0.507 O
0.881 0.507 0.679 O

V3FeNi2P6O24 | Alexandria via LeMat-Bulk | PBEsol | relaxed; E_form (uncorrected) = -1.984 eV/atom; density of states at the Fermi level = 19.0 states/eV per cell
1.0
8.325 -0.014 -0.010
3.996 7.303 -0.010
3.996 2.364 6.910
V Fe Ni P O
3 1 2 6 24
Direct
0.358 0.358 0.358 V
0.141 0.141 0.141 V
0.641 0.641 0.641 V
0.858 0.858 0.858 Fe
0.999 0.999 0.999 Ni
0.499 0.499 0.499 Ni
0.043 0.456 0.751 P
0.456 0.751 0.043 P
0.751 0.043 0.456 P
0.251 0.958 0.543 P
0.543 0.251 0.958 P
0.958 0.543 0.251 P
0.499 0.684 0.880 O
0.684 0.880 0.499 O
0.880 0.499 0.684 O
0.057 0.254 0.912 O
0.008 0.611 0.820 O
0.244 0.436 0.589 O
0.254 0.912 0.057 O
0.436 0.589 0.244 O
0.185 0.001 0.379 O
0.589 0.244 0.436 O
0.092 0.952 0.740 O
0.379 0.185 0.001 O
0.611 0.820 0.008 O
0.912 0.057 0.254 O
0.412 0.757 0.558 O
0.820 0.008 0.611 O
0.558 0.412 0.757 O
0.740 0.092 0.952 O
0.757 0.558 0.412 O
0.001 0.379 0.185 O
0.952 0.740 0.092 O
0.117 0.489 0.329 O
0.329 0.117 0.489 O
0.489 0.329 0.117 O

V3Fe2NiP6O24 | Alexandria via LeMat-Bulk | PBEsol | relaxed; E_form (uncorrected) = -1.994 eV/atom; density of states at the Fermi level = 19.5 states/eV per cell
1.0
-3.480 -2.880 -6.957
-5.290 -6.358 0.627
-8.064 1.498 -1.238
V Fe Ni P O
3 2 1 6 24
Direct
0.360 0.360 0.360 V
0.140 0.140 0.140 V
0.641 0.641 0.641 V
0.997 0.997 0.997 Fe
0.495 0.495 0.495 Fe
0.861 0.861 0.861 Ni
0.755 0.040 0.460 P
0.040 0.460 0.755 P
0.460 0.755 0.040 P
0.540 0.252 0.958 P
0.958 0.540 0.252 P
0.252 0.958 0.540 P
0.878 0.500 0.684 O
0.500 0.684 0.878 O
0.684 0.878 0.500 O
0.912 0.053 0.256 O
0.818 0.014 0.614 O
0.593 0.243 0.431 O
0.053 0.256 0.912 O
0.243 0.431 0.593 O
0.378 0.183 0.000 O
0.431 0.593 0.243 O
0.739 0.097 0.952 O
0.000 0.378 0.183 O
0.014 0.614 0.818 O
0.256 0.912 0.053 O
0.554 0.411 0.757 O
0.614 0.818 0.014 O
0.757 0.554 0.411 O
0.952 0.739 0.097 O
0.411 0.757 0.554 O
0.183 0.000 0.378 O
0.097 0.952 0.739 O
0.332 0.117 0.485 O
0.485 0.332 0.117 O
0.117 0.485 0.332 O

V4FeNiO12 | Alexandria via LeMat-Bulk | PBEsol | relaxed; E_form (uncorrected) = -1.984 eV/atom; density of states at the Fermi level = 6.0 states/eV per cell
1.0
5.721 -0.006 -0.006
1.742 6.367 -0.006
1.742 0.256 6.362
V Fe Ni O
4 1 1 12
Direct
0.997 0.202 0.387 V
0.003 0.613 0.798 V
0.495 0.390 0.203 V
0.505 0.797 0.610 V
0.000 0.085 0.915 Fe
0.500 0.917 0.083 Ni
0.114 0.031 0.189 O
0.886 0.811 0.969 O
0.988 0.082 0.626 O
0.012 0.374 0.918 O
0.610 0.192 0.030 O
0.390 0.970 0.808 O
0.191 0.377 0.344 O
0.809 0.656 0.623 O
0.693 0.343 0.378 O
0.307 0.622 0.657 O
0.482 0.626 0.087 O
0.518 0.913 0.374 O

Fe2NiOs | Alexandria via LeMat-Bulk | PBEsol | relaxed; ΔE_f = 132 meV per atom; density of states at the Fermi level = 5.4 states/eV per cell
1.0
3.560 0.000 0.000
0.000 3.560 0.000
0.000 0.000 3.573
Fe Ni Os
2 1 1
Direct
0.000 0.500 0.000 Fe
0.500 0.000 0.000 Fe
0.500 0.500 0.500 Ni
0.000 0.000 0.500 Os

Fe2NiP | Alexandria via LeMat-Bulk | PBEsol | relaxed; ΔE_f = -447 meV per atom; density of states at the Fermi level = 11.8 states/eV per cell
1.0
-4.008 1.511 -0.477
-1.994 -1.106 -6.213
-4.304 -4.802 1.489
Fe Ni P
8 4 4
Direct
0.624 0.185 0.028 Fe
0.837 0.815 0.972 Fe
0.348 0.028 0.815 Fe
0.191 0.972 0.185 Fe
0.453 0.392 0.668 Fe
0.513 0.608 0.332 Fe
0.878 0.668 0.608 Fe
0.155 0.332 0.392 Fe
0.031 0.394 0.044 Ni
0.469 0.606 0.956 Ni
0.925 0.044 0.606 Ni
0.575 0.956 0.394 Ni
0.943 0.335 0.751 P
0.030 0.665 0.249 P
0.305 0.751 0.665 P
0.722 0.249 0.335 P

FeNi2P | Alexandria via LeMat-Bulk | PBEsol | relaxed; ΔE_f = -277 meV per atom; density of states at the Fermi level = 3.3 states/eV per cell
1.0
2.758 0.000 0.000
0.000 3.837 0.000
-1.379 -1.919 3.977
Fe Ni P
1 2 1
Direct
0.500 0.000 0.000 Fe
0.719 0.719 0.437 Ni
0.281 0.281 0.563 Ni
0.000 0.500 0.000 P

Fe3Ni3P2 | Alexandria via LeMat-Bulk | PBEsol | relaxed; ΔE_f = -444 meV per atom; density of states at the Fermi level = 11.9 states/eV per cell
1.0
-0.173 2.434 -3.589
-5.505 3.653 0.119
3.029 5.783 1.152
Fe Ni P
6 6 4
Direct
0.339 0.816 0.971 Fe
0.126 0.184 0.029 Fe
0.846 0.030 0.817 Fe
0.694 0.970 0.183 Fe
0.009 0.604 0.330 Fe
0.942 0.396 0.670 Fe
0.970 0.612 0.949 Ni
0.530 0.388 0.051 Ni
0.421 0.049 0.612 Ni
0.082 0.951 0.388 Ni
0.385 0.668 0.604 Ni
0.658 0.332 0.396 Ni
0.531 0.663 0.242 P
0.435 0.337 0.758 P
0.810 0.756 0.658 P
0.223 0.244 0.342 P

FeNiP2 | Alexandria via LeMat-Bulk | PBEsol | relaxed; ΔE_f = -327 meV per atom; density of states at the Fermi level = 2.5 states/eV per cell
1.0
-0.484 2.501 0.905
-1.865 0.408 1.913
4.027 0.139 5.805
Fe Ni P
1 1 2
Direct
0.500 0.500 0.500 Fe
0.000 0.000 0.000 Ni
0.248 0.248 0.257 P
0.752 0.752 0.743 P

FeNiP2 | Alexandria via LeMat-Bulk | PBEsol | relaxed; ΔE_f = -361 meV per atom; density of states at the Fermi level = 2.7 states/eV per cell
1.0
2.567 0.000 0.000
0.000 3.313 0.000
-1.284 -1.656 5.441
Fe Ni P
1 1 2
Direct
0.470 0.470 0.939 Fe
0.192 0.692 0.385 Ni
0.040 0.040 0.080 P
0.798 0.298 0.596 P

FeNiP2S | Alexandria via LeMat-Bulk | PBEsol | relaxed; E_form (uncorrected) = 0.669 eV/atom; density of states at the Fermi level = 5.1 states/eV per cell
1.0
4.079 0.000 0.000
0.000 4.079 0.000
0.000 0.000 4.713
Ni S Fe P
1 1 1 2
Direct
0.500 0.500 0.500 Ni
0.000 0.000 0.500 S
0.000 0.000 0.000 Fe
0.000 0.500 0.000 P
0.500 0.000 0.000 P

FeNiPSe2 | Alexandria via LeMat-Bulk | PBEsol | relaxed; E_form (uncorrected) = 0.681 eV/atom; density of states at the Fermi level = 6.0 states/eV per cell
1.0
-3.371 -1.526 -1.609
0.346 -3.722 2.806
-2.546 2.206 3.241
Ni Fe Se P
1 1 2 1
Direct
0.500 0.500 0.500 Ni
0.000 0.000 0.000 Fe
0.000 0.000 0.500 Se
0.000 0.500 0.000 Se
0.500 0.000 0.000 P

FeNiPb | Alexandria via LeMat-Bulk | PBEsol | relaxed; ΔE_f = 388 meV per atom; density of states at the Fermi level = 3.4 states/eV per cell
1.0
4.157 0.000 0.000
2.079 3.600 0.000
2.079 1.200 3.395
Fe Ni Pb
1 1 1
Direct
0.500 0.500 0.500 Fe
0.750 0.750 0.750 Ni
0.000 0.000 0.000 Pb

FeNiPb2 | Alexandria via LeMat-Bulk | PBEsol | relaxed; ΔE_f = 531 meV per atom; density of states at the Fermi level = 3.3 states/eV per cell
1.0
4.659 0.000 0.000
2.329 4.035 0.000
2.329 1.345 3.804
Fe Ni Pb
1 1 2
Direct
0.000 0.000 0.000 Fe
0.500 0.500 0.500 Ni
0.250 0.250 0.250 Pb
0.750 0.750 0.750 Pb

Fe2Ni2Pd | Alexandria via LeMat-Bulk | PBEsol | relaxed; ΔE_f = 45 meV per atom; density of states at the Fermi level = 6.6 states/eV per cell
1.0
2.591 0.000 0.000
0.000 6.759 0.000
0.000 0.000 6.759
Ni Fe Pd
4 4 2
Direct
0.000 0.374 0.874 Ni
0.000 0.874 0.626 Ni
0.000 0.626 0.126 Ni
0.000 0.126 0.374 Ni
0.500 0.170 0.670 Fe
0.500 0.670 0.830 Fe
0.500 0.830 0.330 Fe
0.500 0.330 0.170 Fe
0.000 0.000 0.000 Pd
0.000 0.500 0.500 Pd

FeNiPd2 | Alexandria via LeMat-Bulk | PBEsol | relaxed; ΔE_f = 28 meV per atom; density of states at the Fermi level = 3.7 states/eV per cell
1.0
4.186 0.000 0.000
2.093 3.625 0.000
2.093 1.208 3.418
Ni Fe Pd
1 1 2
Direct
0.500 0.500 0.500 Ni
0.000 0.000 0.000 Fe
0.250 0.250 0.250 Pd
0.750 0.750 0.750 Pd